Here is crystalline SmNp2Sb3 at its relaxed geometry from Alexandria. Energies are from PBE-GGA.

The density is 9.0 g/cm3. For the density of states at the Fermi level, the calculation gives 46.829 states/eV/cell. The total energy comes out at -7.68 eV per atom. The calculation puts the formation energy without anion corrections at -0.515 eV per atom.

It has space group Immm (No. 71), with a = 4.408 Å, b = 6.248 Å, c = 13.299 Å, α = 90.00°, β = 90.00° and γ = 90.00°. The inequivalent atoms are Sm at (0.000, 0.000, 0.000), Np at (0.000, 0.000, 0.335), Sb at (0.000, 0.500, 0.000) and Sb at (0.000, 0.500, 0.330).